(1)
Here is a geometry-optimized SrS2Br structure from the Alexandria database. Energies are from PBE.

Computed properties:
* ρ: 3.8 Mg/m³
* density of states at the Fermi level: 11.0 states/eV per cell
* distance to the lowest polymorph of the same formula: 0.716 eV/atom

a = 5.0809 Å, b = 5.0809 Å, c = 13.7053 Å
α = 90.00°, β = 90.00°, γ = 120.00°
Space group R-3m (No. 166, hexagonal axes)
One atom of each set of equivalent atoms:
1 Sr 0.0000 0.0000 0.0000 (multiplicity 3)
2 S 0.0000 0.0000 0.2107 (multiplicity 6)
3 Br 0.0000 0.0000 0.5000 (multiplicity 3)

(2)
Here is a geometry-optimized SrS2Br structure from the Alexandria database. Energies are from PBE.

Computed properties:
* ρ: 2.9 Mg/m³
* density of states at the Fermi level: 1.7 states/eV per cell
* distance to the lowest polymorph of the same formula: 0.000 eV/atom

a = 8.122 Å, b = 4.180 Å, c = 8.193 Å
α = 90.00°, β = 109.20°, γ = 90.00°
Space group P2_1/m (No. 11)
One atom of each set of equivalent atoms:
1 Sr 0.230 0.250 0.441 (multiplicity 2)
2 S 0.085 0.250 0.743 (multiplicity 2)
3 S 0.175 0.750 0.719 (multiplicity 2)
4 Br 0.401 0.750 0.280 (multiplicity 2)

Total DFT energy (no corrections) (eV per atom)
-3.3408, -4.0572
Energy relative to the elements, uncorrected (eV per formula unit)
-1.754, -4.619
Total magnetization (μB per formula unit)
0.00, 0.00